[1]
## NbTlGaO2 (GGA-PBEsol)

Data for crystalline NbTlGaO2 at its relaxed geometry.

calculated total energy = -33.0 eV/cell
space-group type = No. 123

a = 3.9561 Å, b = 3.9561 Å, c = 5.5839 Å
α = 90.00°, β = 90.00°, γ = 90.00°
Atoms (fractional coordinates):
Ga 0.0000 0.0000 0.5000
O 0.5000 0.0000 0.0000
O 0.0000 0.5000 0.0000
Nb 0.0000 0.0000 0.0000
Tl 0.5000 0.5000 0.5000

[2]
## NbGaOs3 (GGA-PBEsol)

Data for crystalline NbGaOs3 at its relaxed geometry.

calculated total energy = -38.7 eV/cell
E_form = 2.4254 eV per atom
space-group type = No. 221

a = 4.7084 Å, b = 4.7084 Å, c = 4.7084 Å
α = 90.00°, β = 90.00°, γ = 90.00°
Each line ends with the local moment (μB).
Atoms (fractional coordinates):
Os 0.0000 0.5000 0.0000  0.29
Os 0.0000 0.0000 0.5000  0.29
Os 0.5000 0.0000 0.0000  0.29
Ga 0.5000 0.5000 0.5000  0.02
Nb 0.0000 0.0000 0.0000  -0.04

[3]
## NbGaOs2 (GGA-PBEsol)

Data for crystalline NbGaOs2 at its relaxed geometry.

calculated total energy = -39.4 eV/cell
E_form = -0.2041 eV per atom
space-group type = No. 225

a = 4.3790 Å, b = 4.3790 Å, c = 4.3790 Å
α = 60.00°, β = 60.00°, γ = 60.00°
Atoms (fractional coordinates):
Ga 0.0000 0.0000 0.0000
Nb 0.5000 0.5000 0.5000
Os 0.7500 0.7500 0.7500
Os 0.2500 0.2500 0.2500

[4]
## NbGaPb3 (GGA-PBEsol)

Data for crystalline NbGaPb3 at its relaxed geometry.

calculated total energy = -23.4 eV/cell
E_form = 0.5570 eV per atom
space-group type = No. 221

a = 5.4423 Å, b = 5.4423 Å, c = 5.4423 Å
α = 90.00°, β = 90.00°, γ = 90.00°
Atoms (fractional coordinates):
Nb 0.0000 0.0000 0.0000
Pb 0.0000 0.0000 0.5000
Pb 0.0000 0.5000 0.0000
Pb 0.5000 0.0000 0.0000
Ga 0.5000 0.5000 0.5000

- Which of these has the lowest calculated total energy?
  NbGaOs2